Record 1
Be3AlCo: relaxed, PBE.

Cell: 4.162 4.162 4.162 Å, 90.00 90.00 90.00°
Space group Pm-3m (No. 221)
Unique sites:
Be (0.000, 0.000, 0.500)
Al (0.000, 0.000, 0.000)
Co (0.500, 0.500, 0.500)

Values from the calculation:
total magnetization = 1.53 μB per formula unit
calculated total energy = -0.1117 hartree per atom
formation energy from the elements = 1.37 eV per atom
E above lowest polymorph = 0.920 eV per atom

Record 2
LiI3F: relaxed, PBE.

Cell: 5.397 5.397 5.397 Å, 90.00 90.00 90.00°
Space group Pm-3m (No. 221)
Unique sites:
Li (0.000, 0.000, 0.000)
I (0.000, 0.500, 0.500)
F (0.500, 0.500, 0.500)

Values from the calculation:
total magnetization = 0.00 μB per formula unit
calculated total energy = -0.0707 hartree per atom
raw formation energy = -0.24 eV per atom
E above lowest polymorph = 0.000 eV per atom

Record 3
SrFeMo: relaxed, PBE.

Cell: 6.929 6.929 6.929 Å, 90.00 90.00 90.00°
Space group F-43m (No. 216)
Unique sites:
Sr (0.000, 0.000, 0.000)
Fe (0.250, 0.250, 0.750)
Mo (0.250, 0.250, 0.250)

Values from the calculation:
total magnetization = 6.45 μB per formula unit
calculated total energy = -0.1741 hartree per atom
formation energy from the elements = 2.25 eV per atom
E above lowest polymorph = 1.628 eV per atom

Record 4
Rb2ScTe8: relaxed, PBE.

Cell: 7.040 7.517 8.612 Å, 86.53 84.34 80.03°
Space group P-1 (No. 2)
Unique sites:
Rb (0.172, 0.095, 0.198)
Sc (0.500, 0.500, 0.500)
Te (0.103, 0.650, 0.454)
Te (0.189, 0.560, 0.043)
Te (0.372, 0.880, 0.575)
Te (0.415, 0.344, 0.820)

Values from the calculation:
total magnetization = 0.00 μB per formula unit
calculated total energy = -0.1314 hartree per atom
raw formation energy = -0.54 eV per atom

Record 5
La2FeTeH: relaxed, PBE.

Cell: 4.606 4.606 4.919 Å, 90.00 90.00 90.00°
Space group P4/mmm (No. 123)
Unique sites:
La (0.000, 0.500, 0.000)
Fe (0.000, 0.000, 0.500)
Te (0.500, 0.500, 0.500)
H (0.500, 0.500, 0.000)

Values from the calculation:
total magnetization = 0.00 μB per formula unit
calculated total energy = -0.1813 hartree per atom

Record 6
NpMnCl6: relaxed, PBE.

Cell: 6.5883 6.5883 17.7768 Å, 90.00 90.00 120.00°
Space group R-3 (No. 148, hexagonal axes)
Unique sites:
Np (0.0000, 0.0000, 0.0000)
Mn (0.0000, 0.0000, 0.5000)
Cl (0.0085, 0.6408, 0.2478)

Values from the calculation:
total magnetization = 8.00 μB per formula unit
calculated total energy = -0.2040 hartree per atom
raw formation energy = -1.40 eV per atom
E above lowest polymorph = 0.005 eV per atom

Record 7
ZrCu2Hg: relaxed, PBE.

Cell: 4.232 3.213 10.167 Å, 90.00 90.00 90.00°
Space group Amm2 (No. 38)
Unique sites:
Zr (0.000, 0.000, 0.000)
Cu (0.000, 0.000, 0.722)
Cu (0.500, 0.000, 0.592)
Hg (0.500, 0.000, 0.321)

Values from the calculation:
total magnetization = 0.00 μB per formula unit
calculated total energy = -0.1559 hartree per atom
formation energy from the elements = 0.02 eV per atom

Record 8
PmSmS: relaxed, PBE.

Cell: 3.9015 3.9015 6.5129 Å, 90.00 90.00 120.00°
Space group P3m1 (No. 156)
Unique sites:
Pm (0.0000, 0.0000, 0.0000)
Sm (0.3333, 0.6667, 0.5179)
S (0.6667, 0.3333, 0.2610)

Values from the calculation:
total magnetization = 0.00 μB per formula unit
calculated total energy = -0.2129 hartree per atom
raw formation energy = -1.26 eV per atom

Record 9
La5CuBi3: relaxed, PBE.

Cell: 9.8442 9.8442 6.7589 Å, 90.00 90.00 120.00°
Space group P6_3/mcm (No. 193)
Unique sites:
La (0.0000, 0.2585, 0.2500)
La (0.3333, 0.6667, 0.0000)
Cu (0.0000, 0.0000, 0.0000)
Bi (0.0000, 0.3832, 0.7500)

Values from the calculation:
total magnetization = 0.81 μB per formula unit
calculated total energy = -0.1927 hartree per atom
formation energy from the elements = -0.76 eV per atom

Record 10
AlCu2Te: relaxed, PBE.

Cell: 3.023 4.073 6.126 Å, 90.00 104.24 90.00°
Space group P2/m (No. 10)
Unique sites:
Al (0.000, 0.000, 0.000)
Cu (0.213, 0.500, 0.823)
Te (0.000, 0.000, 0.500)

Values from the calculation:
total magnetization = 0.00 μB per formula unit
calculated total energy = -0.1357 hartree per atom
raw formation energy = 0.08 eV per atom
E above lowest polymorph = 0.025 eV per atom

Record 11
Ca2SeBr: relaxed, PBE.

Cell: 4.342 6.453 8.203 Å, 90.00 90.00 90.00°
Space group Cmmm (No. 65)
Unique sites:
Ca (0.000, 0.000, 0.226)
Se (0.000, 0.500, 0.000)
Br (0.000, 0.500, 0.500)

Values from the calculation:
total magnetization = 0.00 μB per formula unit
calculated total energy = -0.1357 hartree per atom
raw formation energy = -1.40 eV per atom
E above lowest polymorph = 0.246 eV per atom

Record 12
Li2NdSc: relaxed, PBE.

Cell: 7.314 7.314 7.314 Å, 90.00 90.00 90.00°
Space group Fm-3m (No. 225)
Unique sites:
Li (0.250, 0.250, 0.250)
Nd (0.000, 0.000, 0.000)
Sc (0.000, 0.000, 0.500)

Values from the calculation:
total magnetization = 0.56 μB per formula unit
calculated total energy = -0.1304 hartree per atom
formation energy from the elements = 0.18 eV per atom
E above lowest polymorph = 0.000 eV per atom

- Among the records above, which one has the highest calculated total energy?
  LiI3F

- The lowest calculated total energy belongs to which entry?
  PmSmS

Repeat the ninth record exactly.
La5CuBi3: relaxed, PBE.

Cell: 9.8442 9.8442 6.7589 Å, 90.00 90.00 120.00°
Space group P6_3/mcm (No. 193)
Unique sites:
La (0.0000, 0.2585, 0.2500)
La (0.3333, 0.6667, 0.0000)
Cu (0.0000, 0.0000, 0.0000)
Bi (0.0000, 0.3832, 0.7500)

Values from the calculation:
total magnetization = 0.81 μB per formula unit
calculated total energy = -0.1927 hartree per atom
formation energy from the elements = -0.76 eV per atom